{"formula": "Mg2ZrSe", "functional": "GGA-PBE", "state": "optimized geometry", "lattice": [[3.576, 0.000, 0.000], [0.000, 3.576, 0.000], [0.000, 0.000, 6.490]], "species": ["Zr", "Mg", "Mg", "Se"], "frac_coords": [[0.500, 0.500, 0.729], [0.000, 0.000, 0.997], [0.500, 0.500, 0.249], [0.000, 0.000, 0.526]], "raw_formation_energy_mev_per_atom": -459, "spacegroup": "P4mm (99)", "dos_ef_per_ev_cell": 1.278, "density_g_cm3": 4.38}